# 1
Below is crystalline LuPaAl2 at its relaxed geometry, with properties calculated at the PBE level.

Properties
DFT formation energy = -7.5 kJ per mole of atoms
Spin magnetization = 0.00 μB per formula unit
D(E_F) = 1.292 states/eV/atom
VASP energy = -65.435 eV/cell

Geometry as CIF:
```
data_LuPaAl2
_cell_length_a 3.2187
_cell_length_b 3.2187
_cell_length_c 30.2251
_cell_angle_alpha 90.00
_cell_angle_beta 90.00
_cell_angle_gamma 120.00
_space_group_name_H-M_alt 'P 1'
_space_group_IT_number 1
loop_
_space_group_symop_operation_xyz
'x,y,z'
loop_
_atom_site_label
_atom_site_fract_x
_atom_site_fract_y
_atom_site_fract_z
_atom_site_occupancy
Lu1 0.0000 0.0000 0.0000 1
Lu2 0.3333 0.6667 0.6667 1
Lu3 0.6667 0.3333 0.3333 1
Pa1 0.0000 0.0000 0.5000 1
Pa2 0.3333 0.6667 0.1667 1
Pa3 0.6667 0.3333 0.8333 1
Al1 0.0000 0.0000 0.2514 1
Al2 0.0000 0.0000 0.7486 1
Al3 0.3333 0.6667 0.4153 1
Al4 0.3333 0.6667 0.9180 1
Al5 0.6667 0.3333 0.0820 1
Al6 0.6667 0.3333 0.5847 1
```

# 2
Below is crystalline LuPa2Al at its relaxed geometry, with properties calculated at the PBE level.

Properties
DFT formation energy = -4.9 kJ per mole of atoms
Spin magnetization = 0.00 μB per formula unit
D(E_F) = 1.880 states/eV/atom
VASP energy = -27.459 eV/cell

Geometry as CIF:
```
data_LuPa2Al
_cell_length_a 4.3639
_cell_length_b 4.3639
_cell_length_c 4.9588
_cell_angle_alpha 90.00
_cell_angle_beta 90.00
_cell_angle_gamma 90.00
_space_group_name_H-M_alt 'P 1'
_space_group_IT_number 1
loop_
_space_group_symop_operation_xyz
'x,y,z'
loop_
_atom_site_label
_atom_site_fract_x
_atom_site_fract_y
_atom_site_fract_z
_atom_site_occupancy
Lu1 0.0000 0.0000 0.0000 1
Pa1 0.0000 0.5000 0.5000 1
Pa2 0.5000 0.0000 0.5000 1
Al1 0.5000 0.5000 0.0000 1
```

# 3
Below is crystalline LuPaAlPb at its relaxed geometry, with properties calculated at the PBE level.

Properties
DFT formation energy = 0.2 kJ per mole of atoms
Spin magnetization = 1.54 μB per formula unit
D(E_F) = 1.718 states/eV/atom
VASP energy = -85.843 eV/cell

Geometry as CIF:
```
data_LuPaAlPb
_cell_length_a 7.4041
_cell_length_b 7.4041
_cell_length_c 7.4041
_cell_angle_alpha 90.00
_cell_angle_beta 90.00
_cell_angle_gamma 90.00
_space_group_name_H-M_alt 'P 1'
_space_group_IT_number 1
loop_
_space_group_symop_operation_xyz
'x,y,z'
loop_
_atom_site_label
_atom_site_fract_x
_atom_site_fract_y
_atom_site_fract_z
_atom_site_occupancy
Lu1 0.0000 0.0000 0.0000 1
Lu2 0.0000 0.5000 0.5000 1
Lu3 0.5000 0.0000 0.5000 1
Lu4 0.5000 0.5000 0.0000 1
Pa1 0.0000 0.0000 0.5000 1
Pa2 0.0000 0.5000 0.0000 1
Pa3 0.5000 0.0000 0.0000 1
Pa4 0.5000 0.5000 0.5000 1
Al1 0.2500 0.2500 0.2500 1
Al2 0.2500 0.7500 0.7500 1
Al3 0.7500 0.2500 0.7500 1
Al4 0.7500 0.7500 0.2500 1
Pb1 0.2500 0.2500 0.7500 1
Pb2 0.2500 0.7500 0.2500 1
Pb3 0.7500 0.2500 0.2500 1
Pb4 0.7500 0.7500 0.7500 1
```

# 4
Below is crystalline LuPuPaAl at its relaxed geometry, with properties calculated at the PBE level.

Properties
DFT formation energy = 8.1 kJ per mole of atoms
Spin magnetization = 6.93 μB per formula unit
D(E_F) = 2.131 states/eV/atom
VASP energy = -127.017 eV/cell

Geometry as CIF:
```
data_LuPuPaAl
_cell_length_a 7.2079
_cell_length_b 7.2079
_cell_length_c 7.2079
_cell_angle_alpha 90.00
_cell_angle_beta 90.00
_cell_angle_gamma 90.00
_space_group_name_H-M_alt 'P 1'
_space_group_IT_number 1
loop_
_space_group_symop_operation_xyz
'x,y,z'
loop_
_atom_site_label
_atom_site_fract_x
_atom_site_fract_y
_atom_site_fract_z
_atom_site_occupancy
Lu1 0.0000 0.0000 0.0000 1
Lu2 0.0000 0.5000 0.5000 1
Lu3 0.5000 0.0000 0.5000 1
Lu4 0.5000 0.5000 0.0000 1
Pu1 0.0000 0.0000 0.5000 1
Pu2 0.0000 0.5000 0.0000 1
Pu3 0.5000 0.0000 0.0000 1
Pu4 0.5000 0.5000 0.5000 1
Pa1 0.2500 0.2500 0.2500 1
Pa2 0.2500 0.7500 0.7500 1
Pa3 0.7500 0.2500 0.7500 1
Pa4 0.7500 0.7500 0.2500 1
Al1 0.2500 0.2500 0.7500 1
Al2 0.2500 0.7500 0.2500 1
Al3 0.7500 0.2500 0.2500 1
Al4 0.7500 0.7500 0.7500 1
```

# 5
Below is crystalline LuPaAlRe at its relaxed geometry, with properties calculated at the PBE level.

Properties
DFT formation energy = -7.3 kJ per mole of atoms
Spin magnetization = 0.00 μB per formula unit
D(E_F) = 0.584 states/eV/atom
VASP energy = -122.035 eV/cell

Geometry as CIF:
```
data_LuPaAlRe
_cell_length_a 6.9516
_cell_length_b 6.9516
_cell_length_c 6.9516
_cell_angle_alpha 90.00
_cell_angle_beta 90.00
_cell_angle_gamma 90.00
_space_group_name_H-M_alt 'P 1'
_space_group_IT_number 1
loop_
_space_group_symop_operation_xyz
'x,y,z'
loop_
_atom_site_label
_atom_site_fract_x
_atom_site_fract_y
_atom_site_fract_z
_atom_site_occupancy
Lu1 0.0000 0.0000 0.0000 1
Lu2 0.0000 0.5000 0.5000 1
Lu3 0.5000 0.0000 0.5000 1
Lu4 0.5000 0.5000 0.0000 1
Pa1 0.0000 0.0000 0.5000 1
Pa2 0.0000 0.5000 0.0000 1
Pa3 0.5000 0.0000 0.0000 1
Pa4 0.5000 0.5000 0.5000 1
Al1 0.2500 0.2500 0.2500 1
Al2 0.2500 0.7500 0.7500 1
Al3 0.7500 0.2500 0.7500 1
Al4 0.7500 0.7500 0.2500 1
Re1 0.2500 0.2500 0.7500 1
Re2 0.2500 0.7500 0.2500 1
Re3 0.7500 0.2500 0.2500 1
Re4 0.7500 0.7500 0.7500 1
```

# 6
Below is crystalline LuPaAlRu at its relaxed geometry, with properties calculated at the PBE level.

Properties
DFT formation energy = -21.8 kJ per mole of atoms
Spin magnetization = 0.00 μB per formula unit
D(E_F) = 1.152 states/eV/atom
VASP energy = -111.762 eV/cell

Geometry as CIF:
```
data_LuPaAlRu
_cell_length_a 6.9524
_cell_length_b 6.9524
_cell_length_c 6.9524
_cell_angle_alpha 90.00
_cell_angle_beta 90.00
_cell_angle_gamma 90.00
_space_group_name_H-M_alt 'P 1'
_space_group_IT_number 1
loop_
_space_group_symop_operation_xyz
'x,y,z'
loop_
_atom_site_label
_atom_site_fract_x
_atom_site_fract_y
_atom_site_fract_z
_atom_site_occupancy
Lu1 0.0000 0.0000 0.0000 1
Lu2 0.0000 0.5000 0.5000 1
Lu3 0.5000 0.0000 0.5000 1
Lu4 0.5000 0.5000 0.0000 1
Pa1 0.0000 0.0000 0.5000 1
Pa2 0.0000 0.5000 0.0000 1
Pa3 0.5000 0.0000 0.0000 1
Pa4 0.5000 0.5000 0.5000 1
Al1 0.2500 0.2500 0.7500 1
Al2 0.2500 0.7500 0.2500 1
Al3 0.7500 0.2500 0.2500 1
Al4 0.7500 0.7500 0.7500 1
Ru1 0.2500 0.2500 0.2500 1
Ru2 0.2500 0.7500 0.7500 1
Ru3 0.7500 0.2500 0.7500 1
Ru4 0.7500 0.7500 0.2500 1
```

# 7
Below is crystalline LuPaTiAl at its relaxed geometry, with properties calculated at the PBE level.

Properties
DFT formation energy = 5.5 kJ per mole of atoms
Spin magnetization = 1.06 μB per formula unit
D(E_F) = 1.419 states/eV/atom
VASP energy = -101.706 eV/cell

Geometry as CIF:
```
data_LuPaTiAl
_cell_length_a 7.0744
_cell_length_b 7.0744
_cell_length_c 7.0744
_cell_angle_alpha 90.00
_cell_angle_beta 90.00
_cell_angle_gamma 90.00
_space_group_name_H-M_alt 'P 1'
_space_group_IT_number 1
loop_
_space_group_symop_operation_xyz
'x,y,z'
loop_
_atom_site_label
_atom_site_fract_x
_atom_site_fract_y
_atom_site_fract_z
_atom_site_occupancy
Lu1 0.0000 0.0000 0.0000 1
Lu2 0.0000 0.5000 0.5000 1
Lu3 0.5000 0.0000 0.5000 1
Lu4 0.5000 0.5000 0.0000 1
Pa1 0.0000 0.0000 0.5000 1
Pa2 0.0000 0.5000 0.0000 1
Pa3 0.5000 0.0000 0.0000 1
Pa4 0.5000 0.5000 0.5000 1
Ti1 0.2500 0.2500 0.7500 1
Ti2 0.2500 0.7500 0.2500 1
Ti3 0.7500 0.2500 0.2500 1
Ti4 0.7500 0.7500 0.7500 1
Al1 0.2500 0.2500 0.2500 1
Al2 0.2500 0.7500 0.7500 1
Al3 0.7500 0.2500 0.7500 1
Al4 0.7500 0.7500 0.2500 1
```

# 8
Below is crystalline LuPaAlTl at its relaxed geometry, with properties calculated at the PBE level.

Properties
DFT formation energy = 2.8 kJ per mole of atoms
Spin magnetization = 0.91 μB per formula unit
D(E_F) = 1.862 states/eV/atom
VASP energy = -80.040 eV/cell

Geometry as CIF:
```
data_LuPaAlTl
_cell_length_a 7.3542
_cell_length_b 7.3542
_cell_length_c 7.3542
_cell_angle_alpha 90.00
_cell_angle_beta 90.00
_cell_angle_gamma 90.00
_space_group_name_H-M_alt 'P 1'
_space_group_IT_number 1
loop_
_space_group_symop_operation_xyz
'x,y,z'
loop_
_atom_site_label
_atom_site_fract_x
_atom_site_fract_y
_atom_site_fract_z
_atom_site_occupancy
Lu1 0.0000 0.0000 0.0000 1
Lu2 0.0000 0.5000 0.5000 1
Lu3 0.5000 0.0000 0.5000 1
Lu4 0.5000 0.5000 0.0000 1
Pa1 0.0000 0.0000 0.5000 1
Pa2 0.0000 0.5000 0.0000 1
Pa3 0.5000 0.0000 0.0000 1
Pa4 0.5000 0.5000 0.5000 1
Al1 0.2500 0.2500 0.7500 1
Al2 0.2500 0.7500 0.2500 1
Al3 0.7500 0.2500 0.2500 1
Al4 0.7500 0.7500 0.7500 1
Tl1 0.2500 0.2500 0.2500 1
Tl2 0.2500 0.7500 0.7500 1
Tl3 0.7500 0.2500 0.7500 1
Tl4 0.7500 0.7500 0.2500 1
```

V
In order: 271.2, 94.4, 405.9, 374.5, 335.9, 336.1, 354.1, 397.7
Unit: Å³/cell